! PBE Rb2SrCu2Br7, optimized geometry; values from VASP
! VASP energy ... -3.1404 eV/atom
! Symmetry ... C2/m, No. 12
&SYSTEM
  ibrav = 0, nat = 12, ntyp = 4
/
ATOMIC_SPECIES
Rb 85.47 Rb.upf
Sr 87.62 Sr.upf
Br 79.90 Br.upf
Cu 63.55 Cu.upf
CELL_PARAMETERS angstrom
5.2250 -0.0035 0.0117
0.0029 5.2250 0.0117
2.5746 2.5715 13.4933
ATOMIC_POSITIONS crystal
Rb 0.8204 0.8204 0.3595
Sr 0.0000 0.0000 0.0000
Br 0.3098 0.3098 0.3814
Br 0.0834 0.5835 0.8314
Cu 0.5951 0.5951 0.8068
Br 0.5835 0.0834 0.8314
Br 0.4165 0.9166 0.1686
Cu 0.4049 0.4049 0.1932
Br 0.6902 0.6902 0.6186
Rb 0.1796 0.1796 0.6405
Br 0.5000 0.5000 0.0000
Br 0.9166 0.4165 0.1686



! PBE LaCdIn, optimized geometry; values from VASP
! VASP energy ... -3.2892 eV/atom
! Symmetry ... C2/m, No. 12
&SYSTEM
  ibrav = 0, nat = 6, ntyp = 3
/
ATOMIC_SPECIES
La 138.91 La.upf
Cd 112.41 Cd.upf
In 114.82 In.upf
CELL_PARAMETERS angstrom
6.1262 -0.0103 0.0044
-3.2089 5.1951 0.0019
-0.0127 -3.3886 5.0797
ATOMIC_POSITIONS crystal
La 0.8784 0.3607 0.4809
La 0.1418 0.8545 0.2505
Cd 0.0101 0.1077 0.8658
In 0.5101 0.1079 0.8660
In 0.5101 0.6079 0.3660
Cd 0.5101 0.6078 0.8659



! PBE NiAs, optimized geometry; values from VASP
! VASP energy ... -5.4396 eV/atom
! Symmetry ... Cm, No. 8
&SYSTEM
  ibrav = 0, nat = 6, ntyp = 2
/
ATOMIC_SPECIES
As 74.92 As.upf
Ni 58.69 Ni.upf
CELL_PARAMETERS angstrom
-2.5007 1.2997 -2.3219
0.0653 -1.0117 -3.5080
-4.5797 -5.9211 1.6306
ATOMIC_POSITIONS crystal
As 0.4720 0.4720 0.6111
Ni 0.8059 0.8059 0.1111
Ni 0.8057 0.8057 0.7772
Ni 0.8053 0.8053 0.4450
As 0.1391 0.1391 0.9352
As 0.1387 0.1387 0.2870



Which of these has the highest VASP energy?
Rb2SrCu2Br7



Which of these has the lowest VASP energy?
NiAs